Here is crystalline CrInO2 at its relaxed geometry from Alexandria. Energies are from PBE+U.

Summary:
Space group = No. 62
Total DFT energy (no corrections) = -101.00 eV for the cell shown
V = 229.0 Å³/cell
Crystal system = orthorhombic
Magnetic moment = 0.75 μB per atom

Cell lengths 5.7953, 3.1847, 12.4097 Å; angles 90.00, 90.00, 90.00 degrees
With the nearest neighbours (Å) after each atom.
Element x y z (fractional)
Cr 0.0999 0.2500 0.0933  4 O 1.94-2.05
Cr 0.4001 0.7500 0.5933  4 O 1.94-2.05
Cr 0.5999 0.2500 0.4067  4 O 1.94-2.05
Cr 0.9001 0.7500 0.9067  4 O 1.94-2.05
In 0.0234 0.7500 0.3507  3 O 2.14-2.35
In 0.4766 0.2500 0.8507  3 O 2.14-2.35
In 0.5234 0.7500 0.1493  3 O 2.14-2.35
In 0.9766 0.2500 0.6493  3 O 2.14-2.35
O 0.1073 0.2500 0.9283  3 Cr 2.01-2.05
O 0.1400 0.2500 0.2488  1 Cr 1.94, 2 In 2.14
O 0.3600 0.7500 0.7488  1 Cr 1.94, 2 In 2.14
O 0.3927 0.7500 0.4283  3 Cr 2.01-2.05
O 0.6073 0.2500 0.5717  3 Cr 2.01-2.05
O 0.6400 0.2500 0.2512  1 Cr 1.94, 2 In 2.14
O 0.8600 0.7500 0.7512  1 Cr 1.94, 2 In 2.14
O 0.8927 0.7500 0.0717  3 Cr 2.01-2.05